The following is a PBE-GGA calculation of an optimized crystal structure of CsBa8Rh2, from Alexandria.

Computed properties:
DOS(E_F)   12.09 states/eV/f.u.
Energy of formation   -0.045 eV/atom
Final energy   -2.86 eV/atom

abc: 7.5246 8.2080 10.5754
angles: 112.83 82.67 90.00
Last column: nearest neighbours and their distance in Å.
Fractional coordinates of all 11 atoms:
1 Ba 0.1872 0.5817 0.1634  1 Rh 3.07
2 Ba 0.8128 0.4183 0.8366  1 Rh 3.07
3 Ba 0.3990 0.0970 0.6974  2 Rh 3.14-3.29
4 Ba 0.6010 0.3996 0.3026  2 Rh 3.14-3.29
5 Ba 0.0786 0.2150 0.4301  1 Rh 3.08
6 Ba 0.9214 0.7850 0.5699  1 Rh 3.08
7 Ba 0.6010 0.9030 0.3026  2 Rh 3.14-3.29
8 Ba 0.3990 0.6004 0.6974  2 Rh 3.14-3.29
9 Rh 0.3220 0.7236 0.4471  6 Ba 3.07-3.29
10 Rh 0.6780 0.2764 0.5529  6 Ba 3.07-3.29
11 Cs 0.0000 0.0000 0.0000  10 Ba 4.31-4.69